Entry 1:
Density functional theory data (PBE-GGA) for Zr3InN after structural relaxation.

abc: 3.245 6.202 10.343
angles: 105.33 90.04 104.94
Space group P1 (No. 1)
Inequivalent atoms, fractional coordinates:
Zr (0.000, 0.000, 0.000) (multiplicity 1)
Zr (0.103, 0.207, 0.499) (multiplicity 1)
Zr (0.287, 0.581, 0.774) (multiplicity 1)
Zr (0.552, 0.105, 0.749) (multiplicity 1)
Zr (0.738, 0.484, 0.021) (multiplicity 1)
Zr (0.842, 0.691, 0.530) (multiplicity 1)
In (0.398, 0.799, 0.270) (multiplicity 1)
In (0.647, 0.298, 0.259) (multiplicity 1)
N (0.144, 0.293, 0.892) (multiplicity 1)
N (0.694, 0.391, 0.633) (multiplicity 1)

formation energy (no corrections): -0.811 eV per atom
magnetic moment: 0.000 Bohr magnetons per cell
DFT total energy: -81.5 eV for the cell shown

Entry 2:
Density functional theory data (PBE-GGA) for Zr3InN after structural relaxation.

abc: 4.970 12.669 6.663
angles: 90.00 90.00 90.00
Space group Imma (No. 74)
Inequivalent atoms, fractional coordinates:
Zr (0.000, 0.124, 0.114) (multiplicity 8)
Zr (0.000, 0.250, 0.588) (multiplicity 4)
In (0.000, 0.000, 0.500) (multiplicity 4)
N (0.000, 0.250, 0.907) (multiplicity 4)

formation energy (no corrections): -0.545 eV per atom
magnetic moment: 0.008 Bohr magnetons per cell
DFT total energy: -157.7 eV for the cell shown

Entry 3:
Density functional theory data (PBE-GGA) for Zr3InN after structural relaxation.

abc: 3.297 7.462 7.826
angles: 87.97 89.97 89.98
Space group P-1 (No. 2)
Inequivalent atoms, fractional coordinates:
Zr (0.249, 0.166, 0.422) (multiplicity 2)
Zr (0.250, 0.081, 0.842) (multiplicity 2)
Zr (0.251, 0.668, 0.894) (multiplicity 2)
In (0.249, 0.597, 0.309) (multiplicity 2)
N (0.250, 0.127, 0.133) (multiplicity 2)

formation energy (no corrections): -0.808 eV per atom
magnetic moment: 0.000 Bohr magnetons per cell
DFT total energy: -81.5 eV for the cell shown

Entry 4:
Density functional theory data (PBE-GGA) for Zr6In3N after structural relaxation.

abc: 10.446 6.202 7.102
angles: 90.00 105.64 90.00
Space group C2/m (No. 12)
Inequivalent atoms, fractional coordinates:
Zr (0.109, 0.244, 0.372) (multiplicity 8)
Zr (0.162, 0.000, 0.801) (multiplicity 4)
In (0.000, 0.500, 0.000) (multiplicity 2)
In (0.176, 0.500, 0.753) (multiplicity 4)
N (0.000, 0.000, 0.500) (multiplicity 2)

formation energy (no corrections): -0.369 eV per atom
magnetic moment: 0.002 Bohr magnetons per cell
DFT total energy: -143.0 eV for the cell shown

Entry 5:
Density functional theory data (PBE-GGA) for Zr3InN after structural relaxation.

abc: 3.5830 3.5830 19.1244
angles: 90.00 90.00 120.00
Space group P6_3/mmc (No. 194)
Inequivalent atoms, fractional coordinates:
Zr (0.0000, 0.0000, 0.2500) (multiplicity 2)
Zr (0.3333, 0.6667, 0.1231) (multiplicity 4)
In (0.0000, 0.0000, 0.0000) (multiplicity 2)
N (0.3333, 0.6667, 0.2500) (multiplicity 2)

formation energy (no corrections): -0.474 eV per atom
magnetic moment: 0.000 Bohr magnetons per cell
DFT total energy: -78.2 eV for the cell shown

Entry 6:
Density functional theory data (PBE-GGA) for Na3In after structural relaxation.

abc: 3.375 11.357 6.286
angles: 90.00 90.00 90.00
Space group Imm2 (No. 44)
Inequivalent atoms, fractional coordinates:
Na (0.000, 0.000, 0.000) (multiplicity 2)
Na (0.000, 0.241, 0.681) (multiplicity 4)
In (0.000, 0.500, 0.986) (multiplicity 2)

magnetic moment: 0.000 Bohr magnetons per cell
formation enthalpy at 0 K: -31 meV/atom
DFT total energy: -13.6 eV for the cell shown